Record 1
VASP calculation (PBE) on a relaxed CuReBr crystal.

Values from the calculation:
Its total DFT energy (no corrections) is -4.702 eV per atom. As for the uncorrected formation energy: 1370.1 meV per atom. For the size of the total moment, the calculation gives 0.0 μB per formula unit. The offset from the most stable computed form is 573 meV/atom.

POSCAR file:
```
CuReBr
1.0
0.000 3.004 3.004
3.004 0.000 3.004
3.004 3.004 0.000
Cu Re Br
1 1 1
Cartesian
0.000 0.000 0.000
1.502 1.502 1.502
3.004 3.004 3.004
```

---

Record 2
VASP calculation (PBE) on a relaxed CuReBr2 crystal.

Values from the calculation:
Its total DFT energy (no corrections) is -4.329 eV per atom. As for the uncorrected formation energy: 643.5 meV per atom. For the size of the total moment, the calculation gives 0.9 μB per formula unit. The offset from the most stable computed form is 260 meV/atom.

POSCAR file:
```
CuReBr2
1.0
1.548 -2.787 0.000
1.548 2.787 0.000
0.000 0.000 9.836
Cu Re Br
1 1 2
Cartesian
0.000 0.000 0.000
1.548 0.000 2.044
0.000 0.000 4.071
1.548 0.000 7.923
```

---

Record 3
VASP calculation (PBE) on a relaxed CuReBr2 crystal.

Values from the calculation:
Its total DFT energy (no corrections) is -4.505 eV per atom. As for the uncorrected formation energy: 467.2 meV per atom. For the size of the total moment, the calculation gives 1.0 μB per formula unit. The offset from the most stable computed form is 84 meV/atom.

POSCAR file:
```
CuReBr2
1.0
-1.534 2.182 7.553
1.534 -2.182 7.553
1.534 2.182 -7.553
Cu Re Br
1 1 2
Cartesian
0.000 0.000 0.000
0.000 0.000 7.553
1.534 0.000 5.489
0.000 2.182 2.064
```

---

Record 4
VASP calculation (PBE) on a relaxed CuReBr2 crystal.

Values from the calculation:
Its total DFT energy (no corrections) is -3.782 eV per atom. As for the uncorrected formation energy: 1190.7 meV per atom. For the size of the total moment, the calculation gives 3.7 μB per formula unit. The offset from the most stable computed form is 807 meV/atom.

POSCAR file:
```
CuReBr2
1.0
-1.876 1.876 6.245
1.876 -1.876 6.245
1.876 1.876 -6.245
Cu Re Br
1 1 2
Cartesian
0.000 0.000 0.000
1.876 0.000 3.122
0.000 0.000 6.245
0.000 1.876 3.122
```

---

Record 5
VASP calculation (PBE) on a relaxed CuRe2Br crystal.

Values from the calculation:
Its total DFT energy (no corrections) is -6.524 eV per atom. As for the uncorrected formation energy: 1142.5 meV per atom. For the size of the total moment, the calculation gives 0.0 μB per formula unit. The offset from the most stable computed form is 676 meV/atom.

POSCAR file:
```
CuRe2Br
1.0
2.852 0.000 0.000
0.000 4.664 0.000
0.000 0.000 4.770
Cu Re Br
1 2 1
Cartesian
0.000 0.000 0.000
0.000 2.332 2.385
1.426 0.000 2.385
1.426 2.332 0.000
```

---

Record 6
VASP calculation (PBE) on a relaxed CuRe3Br crystal.

Values from the calculation:
Its total DFT energy (no corrections) is -6.055 eV per atom. As for the uncorrected formation energy: 2567.5 meV per atom. For the size of the total moment, the calculation gives 3.3 μB per formula unit. The offset from the most stable computed form is 94 meV/atom.

POSCAR file:
```
CuRe3Br
1.0
4.570 0.000 0.000
0.000 4.570 0.000
0.000 0.000 4.570
Cu Re Br
1 3 1
Cartesian
0.000 0.000 0.000
0.000 0.000 2.285
0.000 2.285 0.000
2.285 0.000 0.000
2.285 2.285 2.285
```

---

Record 7
VASP calculation (PBE) on a relaxed Cu2ReBr crystal.

Values from the calculation:
Its total DFT energy (no corrections) is -5.020 eV per atom. As for the uncorrected formation energy: 558.2 meV per atom. For the size of the total moment, the calculation gives 0.0 μB per formula unit. The offset from the most stable computed form is 0 meV/atom.

POSCAR file:
```
Cu2ReBr
1.0
2.760 0.000 0.000
0.000 2.919 0.000
0.000 0.000 8.042
Cu Re Br
2 1 1
Cartesian
0.000 0.000 1.743
0.000 0.000 6.299
1.380 1.459 0.000
0.000 1.459 4.021
```

---

Record 8
VASP calculation (PBE) on a relaxed CuReBr2 crystal.

Values from the calculation:
Its total DFT energy (no corrections) is -3.853 eV per atom. As for the uncorrected formation energy: 1119.1 meV per atom. For the size of the total moment, the calculation gives 2.9 μB per formula unit. The offset from the most stable computed form is 736 meV/atom.

POSCAR file:
```
CuReBr2
1.0
3.164 0.000 0.000
0.000 4.231 0.000
0.000 0.000 6.212
Cu Re Br
1 1 2
Cartesian
0.000 0.000 0.000
1.582 0.000 3.106
0.000 2.115 3.106
1.582 2.115 0.000
```

---

Record 9
VASP calculation (PBE) on a relaxed Cu2ReRuBr crystal.

Values from the calculation:
Its total DFT energy (no corrections) is -4.415 eV per atom. As for the uncorrected formation energy: 1902.9 meV per atom. For the size of the total moment, the calculation gives 5.8 μB per formula unit.

POSCAR file:
```
Cu2ReRuBr
1.0
4.794 0.000 0.000
0.000 4.794 0.000
0.000 0.000 4.607
Cu Re Ru Br
2 1 1 1
Cartesian
0.000 2.397 0.000
2.397 0.000 0.000
0.000 0.000 2.303
2.397 2.397 0.000
2.397 2.397 2.303
```

---

Record 10
VASP calculation (PBE) on a relaxed CuReRu2Br crystal.

Values from the calculation:
Its total DFT energy (no corrections) is -5.400 eV per atom. As for the uncorrected formation energy: 1954.3 meV per atom. For the size of the total moment, the calculation gives 3.6 μB per formula unit.

POSCAR file:
```
CuReRu2Br
1.0
4.559 0.000 0.000
0.000 4.559 0.000
0.000 0.000 4.339
Cu Re Ru Br
1 1 2 1
Cartesian
0.000 0.000 0.000
2.279 2.279 0.000
0.000 2.279 2.170
2.279 0.000 2.170
0.000 0.000 2.170
```

---

Record 11
VASP calculation (PBE) on a relaxed CuReSe2Br crystal.

Values from the calculation:
Its total DFT energy (no corrections) is -4.359 eV per atom. As for the uncorrected formation energy: 677.8 meV per atom. For the size of the total moment, the calculation gives 0.0 μB per formula unit. The offset from the most stable computed form is 0 meV/atom.

POSCAR file:
```
CuReSe2Br
1.0
4.768 0.000 0.000
0.000 4.768 0.000
0.000 0.000 5.496
Cu Re Se Br
1 1 2 1
Cartesian
0.000 0.000 0.000
2.384 2.384 2.748
0.000 2.384 2.748
2.384 0.000 2.748
2.384 2.384 0.000
```

---

Record 12
VASP calculation (PBE) on a relaxed Cu2ReSeBr crystal.

Values from the calculation:
Its total DFT energy (no corrections) is -4.099 eV per atom. As for the uncorrected formation energy: 1060.1 meV per atom. For the size of the total moment, the calculation gives 0.0 μB per formula unit.

POSCAR file:
```
Cu2ReSeBr
1.0
4.608 0.000 0.000
0.000 4.608 0.000
0.000 0.000 4.722
Cu Re Se Br
2 1 1 1
Cartesian
0.000 2.304 0.000
2.304 0.000 0.000
0.000 0.000 2.361
0.000 0.000 0.000
2.304 2.304 2.361
```

---

| no. | calculated density (g/cm3) |
| --- | --- |
| 1 | 10.098 |
| 2 | 8.012 |
| 3 | 6.725 |
| 4 | 7.739 |
| 5 | 13.499 |
| 6 | 12.212 |
| 7 | 10.077 |
| 8 | 8.180 |
| 9 | 7.753 |
| 10 | 9.791 |
| 11 | 6.479 |
| 12 | 7.819 |